Record 1
11
Lattice="6.7949 -2.0453 0.0000 6.7949 2.0453 0.0000 -2.0228 0.0000 5.8889" Properties=species:S:1:pos:R:3 comment="Al2CuPd8 | the Alexandria database | PBE-GGA | relaxed" polymorph_energy_ev_per_atom=0.0000 rho_g_cm3=9.8 dos_ef_per_ev_atom=0.48 spacegroup=C2/m pbc="T T T"
Al 2.6413 0.0000 0.9280
Al 8.9257 0.0000 4.9609
Cu 5.7835 0.0000 2.9445
Pd 0.0915 0.0000 1.3751
Pd 0.6340 0.0000 4.2105
Pd 3.2457 0.0000 3.3664
Pd 5.3049 0.0000 0.2154
Pd 6.2622 0.0000 5.6735
Pd 8.3213 0.0000 2.5226
Pd 10.9330 0.0000 1.6784
Pd 11.4755 0.0000 4.5139

=====

Record 2
6
Lattice="0.0000 3.8306 3.8306 3.8306 0.0000 3.8306 3.8306 3.8306 0.0000" Properties=species:S:1:pos:R:3 comment="TbURe4 | the Alexandria database | PBE-GGA | relaxed" rho_g_cm3=16.9 e_tot_ev_per_cell=-65.600 dos_ef_per_ev_atom=2.15 spacegroup=F-43m pbc="T T T"
Tb 0.0000 0.0000 0.0000
U 5.7459 5.7459 5.7459
Re 2.8707 2.8707 2.8707
Re 4.7906 4.7906 2.8707
Re 4.7906 2.8707 4.7906
Re 2.8707 4.7906 4.7906

=====

Record 3
10
Lattice="4.2376 0.0000 0.0000 0.0000 4.2376 0.0000 0.0000 0.0000 10.5795" Properties=species:S:1:pos:R:3 comment="Ce2InGa4Cu3 | the Alexandria database | PBE-GGA | relaxed" rho_g_cm3=7.6 e_tot_ev_per_cell=-42.969 dos_ef_per_ev_atom=1.20 spacegroup=P-4m2 pbc="T T T"
Ce 0.0000 2.1188 2.4904
Ce 2.1188 0.0000 8.0891
In 0.0000 0.0000 5.2898
Ga 0.0000 0.0000 0.0000
Ga 0.0000 2.1188 6.9189
Ga 2.1188 0.0000 3.6606
Ga 2.1188 2.1188 0.0000
Cu 0.0000 2.1188 9.2855
Cu 2.1188 0.0000 1.2940
Cu 2.1188 2.1188 5.2898

=====

Record 4
5
Lattice="4.9068 0.0000 0.0000 0.0000 4.9068 0.0000 0.0000 0.0000 5.2975" Properties=species:S:1:pos:R:3 comment="YSc2ReAu | the Alexandria database | PBE-GGA | relaxed" rho_g_cm3=7.3 e_tot_ev_per_cell=-33.517 dos_ef_per_ev_atom=1.16 spacegroup=P4/mmm pbc="T T T"
Y 0.0000 0.0000 0.0000
Sc 0.0000 2.4534 2.6487
Sc 2.4534 0.0000 2.6487
Re 2.4534 2.4534 2.6487
Au 2.4534 2.4534 0.0000

=====

Record 5
4
Lattice="-1.5764 3.1580 4.1988 1.5764 -3.1580 4.1988 1.5764 3.1580 -4.1988" Properties=species:S:1:pos:R:3 comment="CdCu2Br | the Alexandria database | PBE-GGA | relaxed" polymorph_energy_ev_per_atom=0.2193 rho_g_cm3=6.3 dos_ef_per_ev_atom=0.21 spacegroup=Immm pbc="T T T"
Cd 0.0000 0.0000 0.0000
Cu 1.5764 0.0000 2.1561
Cu 0.0000 3.1580 2.0427
Br 0.0000 0.0000 4.1988

=====

Record 6
5
Lattice="5.5176 0.0000 0.0000 0.0000 5.5176 0.0000 0.0000 0.0000 4.0824" Properties=species:S:1:pos:R:3 comment="La2BIrPb | the Alexandria database | PBE-GGA | relaxed" rho_g_cm3=9.2 e_tot_ev_per_cell=-31.327 dos_ef_per_ev_atom=0.63 spacegroup=P4/mmm pbc="T T T"
La 0.0000 2.7588 0.0000
La 2.7588 0.0000 0.0000
B 0.0000 0.0000 0.0000
Ir 0.0000 0.0000 2.0412
Pb 2.7588 2.7588 2.0412

=====

Record 7
6
Lattice="4.0858 0.0000 0.0000 -2.0429 3.5384 0.0000 0.0000 0.0000 8.1311" Properties=species:S:1:pos:R:3 comment="CeThNi2As2 | the Alexandria database | PBE-GGA | relaxed" rho_g_cm3=9.0 e_tot_ev_per_cell=-40.471 dos_ef_per_ev_atom=1.25 spacegroup=P-3m1 pbc="T T T"
Ce 0.0000 0.0000 0.0000
Th 0.0000 0.0000 4.0655
Ni 0.0000 2.3589 2.1824
Ni 2.0429 1.1795 5.9487
As 0.0000 2.3589 6.2165
As 2.0429 1.1795 1.9146

=====

Record 8
4
Lattice="-1.6214 2.8608 4.9552 1.6214 -2.8608 4.9552 1.6214 2.8608 -4.9552" Properties=species:S:1:pos:R:3 comment="Zr2HgBr | the Alexandria database | PBE-GGA | relaxed" polymorph_energy_ev_per_atom=0.2974 rho_g_cm3=8.4 dos_ef_per_ev_atom=0.89 spacegroup=Immm pbc="T T T"
Zr 0.0000 0.0000 2.3197
Zr 0.0000 0.0000 7.5907
Hg 0.0000 2.8608 0.0000
Br 1.6214 0.0000 0.0000